[1]
A geometry-optimized Y2Al2ZnRh5 structure. Source: Alexandria, functional PBE.

Values from the calculation:
The value obtained for the energy of formation is -0.78 eV per atom.

CIF file:
```
data_Y2Al2ZnRh5
_symmetry_space_group_name_H-M 'P 4/m b m'
_symmetry_Int_Tables_number 127
_symmetry_space_group_name_Hall '-P 4 2ab'
_cell_length_a 9.9268
_cell_length_b 9.9268
_cell_length_c 3.3975
_cell_angle_alpha 90.00
_cell_angle_beta 90.00
_cell_angle_gamma 90.00
loop_
_atom_site_label
_atom_site_type_symbol
_atom_site_fract_x
_atom_site_fract_y
_atom_site_fract_z
Y1 Y 0.1741 0.3259 0.0000
Al1 Al 0.1262 0.6262 0.0000
Zn1 Zn 0.0000 0.0000 0.0000
Rh1 Rh 0.0000 0.5000 0.5000
Rh2 Rh 0.0650 0.7968 0.5000
```


[2]
A geometry-optimized AlCu2Se structure. Source: Alexandria, functional PBE.

Values from the calculation:
The value obtained for the raw formation energy is 226 meV per atom.

CIF file:
```
data_AlCu2Se
_symmetry_space_group_name_H-M 'F m -3 m'
_symmetry_Int_Tables_number 225
_symmetry_space_group_name_Hall '-F 4 2 3'
_cell_length_a 6.3247
_cell_length_b 6.3247
_cell_length_c 6.3247
_cell_angle_alpha 90.00
_cell_angle_beta 90.00
_cell_angle_gamma 90.00
loop_
_atom_site_label
_atom_site_type_symbol
_atom_site_fract_x
_atom_site_fract_y
_atom_site_fract_z
Al1 Al 0.0000 0.0000 0.0000
Cu1 Cu 0.2500 0.2500 0.2500
Se1 Se 0.0000 0.0000 0.5000
```


[3]
A geometry-optimized SrAcAsO structure. Source: Alexandria, functional PBE.

Values from the calculation:
The value obtained for the raw formation energy is -2093 meV per atom.

CIF file:
```
data_SrAcAsO
_symmetry_space_group_name_H-M 'P 4/n m m'
_symmetry_Int_Tables_number 129
_cell_length_a 4.7025
_cell_length_b 4.7025
_cell_length_c 9.4813
_cell_angle_alpha 90.00
_cell_angle_beta 90.00
_cell_angle_gamma 90.00
loop_
_symmetry_equiv_pos_as_xyz
'x,y,z'
'-x,-y,-z'
'-y+1/2,x,z'
'y+1/2,-x,-z'
'-x+1/2,-y+1/2,z'
'x+1/2,y+1/2,-z'
'y,-x+1/2,z'
'-y,x+1/2,-z'
'x+1/2,-y,-z'
'-x+1/2,y,z'
'-y,-x,-z'
'y,x,z'
'-x,y+1/2,-z'
'x,-y+1/2,z'
'y+1/2,x+1/2,-z'
'-y+1/2,-x+1/2,z'
loop_
_atom_site_label
_atom_site_type_symbol
_atom_site_fract_x
_atom_site_fract_y
_atom_site_fract_z
Sr1 Sr 0.2500 0.7500 0.0000
Ac1 Ac 0.2500 0.2500 0.3387
As1 As 0.2500 0.2500 0.6930
O1 O 0.2500 0.2500 0.0905
```


[4]
A geometry-optimized KTc structure. Source: Alexandria, functional PBE.

Values from the calculation:
The value obtained for the energy of formation is 1.37 eV per atom.

CIF file:
```
data_KTc
_symmetry_space_group_name_H-M 'C m m m'
_symmetry_Int_Tables_number 65
_symmetry_space_group_name_Hall '-C 2 2'
_cell_length_a 3.3986
_cell_length_b 4.1250
_cell_length_c 5.8998
_cell_angle_alpha 90.00
_cell_angle_beta 90.00
_cell_angle_gamma 90.00
loop_
_atom_site_label
_atom_site_type_symbol
_atom_site_fract_x
_atom_site_fract_y
_atom_site_fract_z
K1 K 0.0000 0.0000 0.0000
Tc1 Tc 0.0000 0.5000 0.5000
```


[5]
A geometry-optimized TaRhAu2 structure. Source: Alexandria, functional PBE.

Values from the calculation:
The value obtained for the energy of formation is -0.17 eV per atom.

CIF file:
```
data_TaRhAu2
_symmetry_space_group_name_H-M 'P 4 m m'
_symmetry_Int_Tables_number 99
_symmetry_space_group_name_Hall 'P 4 -2'
_cell_length_a 2.9166
_cell_length_b 2.9166
_cell_length_c 8.0161
_cell_angle_alpha 90.00
_cell_angle_beta 90.00
_cell_angle_gamma 90.00
loop_
_atom_site_label
_atom_site_type_symbol
_atom_site_fract_x
_atom_site_fract_y
_atom_site_fract_z
Ta1 Ta 0.0000 0.0000 0.0000
Rh1 Rh 0.5000 0.5000 0.7802
Au1 Au 0.0000 0.0000 0.5251
Au2 Au 0.5000 0.5000 0.2566
```


[6]
A geometry-optimized TcTe2CN structure. Source: Alexandria, functional PBE.

Values from the calculation:
The value obtained for the raw formation energy is 1503 meV per atom.

CIF file:
```
data_TcTe2CN
_symmetry_space_group_name_H-M 'P 4/m m m'
_symmetry_Int_Tables_number 123
_symmetry_space_group_name_Hall '-P 4 2'
_cell_length_a 5.2893
_cell_length_b 5.2893
_cell_length_c 3.6800
_cell_angle_alpha 90.00
_cell_angle_beta 90.00
_cell_angle_gamma 90.00
loop_
_atom_site_label
_atom_site_type_symbol
_atom_site_fract_x
_atom_site_fract_y
_atom_site_fract_z
Tc1 Tc 0.0000 0.0000 0.0000
Te1 Te 0.0000 0.5000 0.0000
C1 C 0.5000 0.5000 0.5000
N1 N 0.0000 0.0000 0.5000
```


Number 1: calculated density 8.05 g/cm³. Number 2: calculated density 6.12 g/cm³. Number 3: calculated density 6.42 g/cm³. Number 4: calculated density 5.50 g/cm³. Number 5: calculated density 16.51 g/cm³. Number 6: calculated density 6.12 g/cm³.